1.
# PBE K2LiWSe4, optimized geometry
# DOS(E_F) ... 4.04 states/eV/cell
# Formation energy from raw total energies ... -796 meV per atom
# Raw total energy ... -4.671 eV/atom
# Magnetic moment ... 1.00 μB/cell
data_K2LiWSe4
_space_group_name_H-M_alt 'P 1'
_space_group_IT_number 1
_cell_length_a 6.898
_cell_length_b 6.898
_cell_length_c 6.898
_cell_angle_alpha 112.54
_cell_angle_beta 112.54
_cell_angle_gamma 103.49
loop_
_space_group_symop_operation_xyz
'x,y,z'
loop_
_atom_site_label
_atom_site_fract_x
_atom_site_fract_y
_atom_site_fract_z
K1 0.000 0.000 0.000
K2 0.750 0.250 0.500
Li1 0.500 0.500 0.000
W1 0.250 0.750 0.500
Se1 0.256 0.117 0.565
Se2 0.310 0.744 0.862
Se3 0.552 0.690 0.435
Se4 0.883 0.448 0.138

2.
# PBE K4LiZr3Se8, optimized geometry
# DOS(E_F) ... 4.65 states/eV/cell
# Formation energy from raw total energies ... -1335 meV per atom
# Raw total energy ... -5.074 eV/atom
# Magnetic moment ... 0.00 μB/cell
data_K4LiZr3Se8
_space_group_name_H-M_alt 'P 1'
_space_group_IT_number 1
_cell_length_a 8.930
_cell_length_b 8.930
_cell_length_c 8.930
_cell_angle_alpha 53.24
_cell_angle_beta 53.24
_cell_angle_gamma 53.24
loop_
_space_group_symop_operation_xyz
'x,y,z'
loop_
_atom_site_label
_atom_site_fract_x
_atom_site_fract_y
_atom_site_fract_z
K1 0.000 0.000 0.000
K2 0.000 0.500 0.500
K3 0.500 0.000 0.500
K4 0.500 0.500 0.000
Li1 0.500 0.500 0.500
Zr1 0.000 0.000 0.500
Zr2 0.000 0.500 0.000
Zr3 0.500 0.000 0.000
Se1 0.224 0.736 0.736
Se2 0.234 0.234 0.234
Se3 0.264 0.264 0.776
Se4 0.264 0.776 0.264
Se5 0.736 0.224 0.736
Se6 0.736 0.736 0.224
Se7 0.766 0.766 0.766
Se8 0.776 0.264 0.264

3.
# PBE K2LiZr3Se8, optimized geometry
# DOS(E_F) ... 4.78 states/eV/cell
# Formation energy from raw total energies ... -1257 meV per atom
# Raw total energy ... -5.373 eV/atom
# Magnetic moment ... 0.00 μB/cell
data_K2LiZr3Se8
_space_group_name_H-M_alt 'P 1'
_space_group_IT_number 1
_cell_length_a 9.513
_cell_length_b 9.513
_cell_length_c 9.513
_cell_angle_alpha 47.89
_cell_angle_beta 47.89
_cell_angle_gamma 47.89
loop_
_space_group_symop_operation_xyz
'x,y,z'
loop_
_atom_site_label
_atom_site_fract_x
_atom_site_fract_y
_atom_site_fract_z
K1 0.000 0.000 0.000
K2 0.351 0.351 0.351
Li1 0.502 0.502 0.502
Zr1 0.506 0.998 0.998
Zr2 0.998 0.506 0.998
Zr3 0.998 0.998 0.506
Se1 0.222 0.733 0.733
Se2 0.228 0.228 0.228
Se3 0.266 0.266 0.783
Se4 0.266 0.783 0.266
Se5 0.733 0.222 0.733
Se6 0.733 0.733 0.222
Se7 0.769 0.769 0.769
Se8 0.783 0.266 0.266

4.
# PBE K2LiZrSe4, optimized geometry
# DOS(E_F) ... 3.35 states/eV/cell
# Formation energy from raw total energies ... -1149 meV per atom
# Raw total energy ... -4.473 eV/atom
# Magnetic moment ... 0.00 μB/cell
data_K2LiZrSe4
_space_group_name_H-M_alt 'P 1'
_space_group_IT_number 1
_cell_length_a 8.650
_cell_length_b 8.650
_cell_length_c 8.650
_cell_angle_alpha 126.40
_cell_angle_beta 117.12
_cell_angle_gamma 87.18
loop_
_space_group_symop_operation_xyz
'x,y,z'
loop_
_atom_site_label
_atom_site_fract_x
_atom_site_fract_y
_atom_site_fract_z
K1 0.000 0.000 0.000
K2 0.500 0.000 0.000
K3 0.500 0.000 0.500
K4 0.500 0.500 0.500
Li1 0.000 0.500 0.500
Li2 0.500 0.500 0.000
Zr1 0.000 0.000 0.500
Zr2 0.000 0.500 0.000
Se1 0.205 0.246 0.958
Se2 0.212 0.754 0.458
Se3 0.219 0.279 0.560
Se4 0.219 0.659 0.940
Se5 0.781 0.341 0.060
Se6 0.781 0.721 0.440
Se7 0.788 0.246 0.542
Se8 0.795 0.754 0.042

5.
# PBE KLi2Si2, optimized geometry
# Polymorph energy (0 for the lowest one) ... 0.025 eV per atom
# DOS(E_F) ... 3.63 states/eV/cell
# Formation energy from raw total energies ... 24 meV per atom
# Raw total energy ... -3.131 eV/atom
# Magnetic moment ... 0.00 μB/cell
data_KLi2Si2
_space_group_name_H-M_alt 'P 1'
_space_group_IT_number 1
_cell_length_a 8.035
_cell_length_b 8.035
_cell_length_c 2.929
_cell_angle_alpha 90.00
_cell_angle_beta 90.00
_cell_angle_gamma 90.00
loop_
_space_group_symop_operation_xyz
'x,y,z'
loop_
_atom_site_label
_atom_site_fract_x
_atom_site_fract_y
_atom_site_fract_z
K1 0.000 0.000 0.000
K2 0.500 0.500 0.000
Li1 0.176 0.324 0.000
Li2 0.324 0.824 0.000
Li3 0.676 0.176 0.000
Li4 0.824 0.676 0.000
Si1 0.107 0.607 0.500
Si2 0.393 0.107 0.500
Si3 0.607 0.893 0.500
Si4 0.893 0.393 0.500

6.
# PBE KLi2Si2, optimized geometry
# Polymorph energy (0 for the lowest one) ... 0.000 eV per atom
# DOS(E_F) ... 1.63 states/eV/cell
# Formation energy from raw total energies ... -1 meV per atom
# Raw total energy ... -3.156 eV/atom
# Magnetic moment ... 0.00 μB/cell
data_KLi2Si2
_space_group_name_H-M_alt 'P 1'
_space_group_IT_number 1
_cell_length_a 5.796
_cell_length_b 5.796
_cell_length_c 5.796
_cell_angle_alpha 129.74
_cell_angle_beta 129.74
_cell_angle_gamma 73.83
loop_
_space_group_symop_operation_xyz
'x,y,z'
loop_
_atom_site_label
_atom_site_fract_x
_atom_site_fract_y
_atom_site_fract_z
K1 0.000 0.000 0.000
Li1 0.250 0.750 0.500
Li2 0.750 0.250 0.500
Si1 0.380 0.380 0.000
Si2 0.620 0.620 0.000

7.
# PBE K2LiSi, optimized geometry
# DOS(E_F) ... 3.15 states/eV/cell
# Formation energy from raw total energies ... 272 meV per atom
# Raw total energy ... -2.111 eV/atom
# Magnetic moment ... 0.99 μB/cell
data_K2LiSi
_space_group_name_H-M_alt 'P 1'
_space_group_IT_number 1
_cell_length_a 5.513
_cell_length_b 5.513
_cell_length_c 5.513
_cell_angle_alpha 120.11
_cell_angle_beta 120.11
_cell_angle_gamma 89.80
loop_
_space_group_symop_operation_xyz
'x,y,z'
loop_
_atom_site_label
_atom_site_fract_x
_atom_site_fract_y
_atom_site_fract_z
K1 0.000 0.000 0.000
K2 0.750 0.250 0.500
Li1 0.250 0.750 0.500
Si1 0.500 0.500 0.000

8.
# PBE K2LiSi, optimized geometry
# DOS(E_F) ... 2.46 states/eV/cell
# Formation energy from raw total energies ... 202 meV per atom
# Raw total energy ... -2.181 eV/atom
# Magnetic moment ... 0.00 μB/cell
data_K2LiSi
_space_group_name_H-M_alt 'P 1'
_space_group_IT_number 1
_cell_length_a 3.729
_cell_length_b 3.729
_cell_length_c 9.988
_cell_angle_alpha 90.00
_cell_angle_beta 90.00
_cell_angle_gamma 90.00
loop_
_space_group_symop_operation_xyz
'x,y,z'
loop_
_atom_site_label
_atom_site_fract_x
_atom_site_fract_y
_atom_site_fract_z
K1 0.000 0.000 0.000
K2 0.500 0.500 0.415
Li1 0.000 0.000 0.686
Si1 0.500 0.500 0.760

9.
# PBE K2LiSi, optimized geometry
# DOS(E_F) ... 3.11 states/eV/cell
# Formation energy from raw total energies ... 506 meV per atom
# Raw total energy ... -1.877 eV/atom
# Magnetic moment ... 0.00 μB/cell
data_K2LiSi
_space_group_name_H-M_alt 'P 1'
_space_group_IT_number 1
_cell_length_a 12.240
_cell_length_b 12.240
_cell_length_c 12.240
_cell_angle_alpha 157.79
_cell_angle_beta 157.79
_cell_angle_gamma 31.62
loop_
_space_group_symop_operation_xyz
'x,y,z'
loop_
_atom_site_label
_atom_site_fract_x
_atom_site_fract_y
_atom_site_fract_z
K1 0.123 0.625 0.998
K2 0.375 0.373 0.498
K3 0.627 0.125 0.002
K4 0.875 0.877 0.502
Li1 0.250 0.750 0.500
Li2 0.500 0.500 0.000
Si1 0.000 0.000 0.000
Si2 0.750 0.250 0.500

10.
# PBE KLi2Si2, optimized geometry
# Polymorph energy (0 for the lowest one) ... 0.058 eV per atom
# DOS(E_F) ... 5.87 states/eV/cell
# Formation energy from raw total energies ... 57 meV per atom
# Raw total energy ... -3.098 eV/atom
# Magnetic moment ... 0.00 μB/cell
data_KLi2Si2
_space_group_name_H-M_alt 'P 1'
_space_group_IT_number 1
_cell_length_a 8.137
_cell_length_b 8.137
_cell_length_c 3.019
_cell_angle_alpha 90.00
_cell_angle_beta 90.00
_cell_angle_gamma 90.00
loop_
_space_group_symop_operation_xyz
'x,y,z'
loop_
_atom_site_label
_atom_site_fract_x
_atom_site_fract_y
_atom_site_fract_z
K1 0.000 0.000 0.000
K2 0.500 0.500 0.000
Li1 0.176 0.324 0.500
Li2 0.324 0.824 0.500
Li3 0.676 0.176 0.500
Li4 0.824 0.676 0.500
Si1 0.103 0.603 0.000
Si2 0.397 0.103 0.000
Si3 0.603 0.897 0.000
Si4 0.897 0.397 0.000

11.
# PBE K2LiSi, optimized geometry
# DOS(E_F) ... 2.34 states/eV/cell
# Formation energy from raw total energies ... 384 meV per atom
# Raw total energy ... -1.999 eV/atom
# Magnetic moment ... 0.14 μB/cell
data_K2LiSi
_space_group_name_H-M_alt 'P 1'
_space_group_IT_number 1
_cell_length_a 5.781
_cell_length_b 5.781
_cell_length_c 4.254
_cell_angle_alpha 90.49
_cell_angle_beta 90.49
_cell_angle_gamma 115.73
loop_
_space_group_symop_operation_xyz
'x,y,z'
loop_
_atom_site_label
_atom_site_fract_x
_atom_site_fract_y
_atom_site_fract_z
K1 0.000 0.500 0.000
K2 0.500 0.000 0.000
Li1 0.000 0.000 0.500
Si1 0.500 0.500 0.500